[1]
## RePtBr2 (PBE)

Data for a relaxed structure of RePtBr2.

a = 4.553 Å, b = 4.553 Å, c = 3.436 Å
α = 90.00°, β = 90.00°, γ = 90.00°
Fractional positions:
1 Br 0.000 0.000 0.000
2 Br 0.500 0.500 0.000
3 Re 0.000 0.500 0.500
4 Pt 0.500 0.000 0.500

Results
The calculated density comes out at 12.612 g cm⁻³. Its space group is No. 123. The calculation puts the uncorrected energy at -4.041 eV/atom. As for the crystal system: tetragonal. The total magnetization is 0.002 μB/atom. Its formation energy without anion corrections is 1.42 eV/atom. For the energy above the lowest structure with this stoichiometry, the calculation gives 1107.5 meV/atom. The calculation puts the density of states at the Fermi level at 5.3 states/eV/f.u.



[2]
## RePtBr (PBE)

Data for a relaxed structure of RePtBr.

a = 4.476 Å, b = 4.476 Å, c = 2.885 Å
α = 90.00°, β = 90.00°, γ = 120.00°
Fractional positions:
1 Pt 0.667 0.333 0.334
2 Br 0.000 0.000 0.832
3 Re 0.333 0.667 0.834

Results
The calculated density comes out at 15.296 g cm⁻³. Its space group is No. 187. The calculation puts the uncorrected energy at -5.670 eV/atom. As for the crystal system: hexagonal. The total magnetization is 0.000 μB/atom. Its formation energy without anion corrections is 1.05 eV/atom. For the energy above the lowest structure with this stoichiometry, the calculation gives 446.2 meV/atom. The calculation puts the density of states at the Fermi level at 3.8 states/eV/f.u.



[3]
## RePtBr2 (PBE)

Data for a relaxed structure of RePtBr2.

a = 3.065 Å, b = 4.076 Å, c = 7.899 Å
α = 75.01°, β = 90.00°, γ = 90.00°
Fractional positions:
1 Br 0.000 0.846 0.932
2 Br 0.500 0.146 0.333
3 Pt 0.000 0.529 0.567
4 Re 0.500 0.979 0.668

Results
The calculated density comes out at 9.428 g cm⁻³. Its space group is No. 38. The calculation puts the uncorrected energy at -5.149 eV/atom. As for the crystal system: orthorhombic. The total magnetization is 0.000 μB/atom. Its formation energy without anion corrections is 0.31 eV/atom. For the energy above the lowest structure with this stoichiometry, the calculation gives 0.0 meV/atom. The calculation puts the density of states at the Fermi level at 3.1 states/eV/f.u.



[4]
## RePtBr (PBE)

Data for a relaxed structure of RePtBr.

a = 3.011 Å, b = 3.011 Å, c = 6.641 Å
α = 90.00°, β = 90.00°, γ = 120.00°
Fractional positions:
1 Pt 0.667 0.333 0.363
2 Re 0.333 0.667 0.667
3 Br 0.000 0.000 0.970

Results
The calculated density comes out at 14.692 g cm⁻³. Its space group is No. 156. The calculation puts the uncorrected energy at -6.116 eV/atom. As for the crystal system: trigonal. The total magnetization is 0.000 μB/atom. Its formation energy without anion corrections is 0.60 eV/atom. For the energy above the lowest structure with this stoichiometry, the calculation gives 0.0 meV/atom. The calculation puts the density of states at the Fermi level at 2.4 states/eV/f.u.



[5]
## RePtBr (PBE)

Data for a relaxed structure of RePtBr.

a = 6.847 Å, b = 6.847 Å, c = 6.847 Å
α = 154.73°, β = 154.73°, γ = 36.05°
Fractional positions:
1 Br 0.035 0.035 0.000
2 Pt 0.293 0.293 0.000
3 Re 0.673 0.673 0.000

Results
The calculated density comes out at 13.105 g cm⁻³. Its space group is No. 107. The calculation puts the uncorrected energy at -6.087 eV/atom. As for the crystal system: tetragonal. The total magnetization is 0.000 μB/atom. Its formation energy without anion corrections is 0.63 eV/atom. For the energy above the lowest structure with this stoichiometry, the calculation gives 29.3 meV/atom. The calculation puts the density of states at the Fermi level at 1.9 states/eV/f.u.



[6]
## RePtBr2 (PBE)

Data for a relaxed structure of RePtBr2.

a = 7.626 Å, b = 7.626 Å, c = 4.611 Å
α = 72.56°, β = 72.56°, γ = 22.61°
Fractional positions:
1 Pt 0.750 0.750 0.750
2 Br 0.898 0.898 0.103
3 Br 0.602 0.602 0.397
4 Re 0.250 0.250 0.250

Results
The calculated density comes out at 9.155 g cm⁻³. Its space group is No. 12. The calculation puts the uncorrected energy at -4.977 eV/atom. As for the crystal system: monoclinic. The total magnetization is 0.231 μB/atom. Its formation energy without anion corrections is 0.48 eV/atom. For the energy above the lowest structure with this stoichiometry, the calculation gives 171.9 meV/atom. The calculation puts the density of states at the Fermi level at 3.9 states/eV/f.u.



[7]
## RePtBr2 (PBE)

Data for a relaxed structure of RePtBr2.

a = 3.138 Å, b = 3.138 Å, c = 10.359 Å
α = 90.00°, β = 90.00°, γ = 124.47°
Fractional positions:
1 Br 0.000 0.000 0.941
2 Br 0.500 0.500 0.293
3 Re 0.500 0.500 0.737
4 Pt 0.000 0.000 0.529

Results
The calculated density comes out at 10.682 g cm⁻³. Its space group is No. 35. The calculation puts the uncorrected energy at -4.828 eV/atom. As for the crystal system: orthorhombic. The total magnetization is 0.202 μB/atom. Its formation energy without anion corrections is 0.63 eV/atom. For the energy above the lowest structure with this stoichiometry, the calculation gives 321.0 meV/atom. The calculation puts the density of states at the Fermi level at 3.1 states/eV/f.u.



[8]
## RePtBr (PBE)

Data for a relaxed structure of RePtBr.

a = 7.605 Å, b = 7.299 Å, c = 2.968 Å
α = 84.38°, β = 72.77°, γ = 22.85°
Fractional positions:
1 Re 0.666 0.666 0.334
2 Br 0.015 0.015 0.985
3 Pt 0.319 0.319 0.681

Results
The calculated density comes out at 14.218 g cm⁻³. Its space group is No. 42. The calculation puts the uncorrected energy at -5.912 eV/atom. As for the crystal system: orthorhombic. The total magnetization is 0.191 μB/atom. Its formation energy without anion corrections is 0.81 eV/atom. For the energy above the lowest structure with this stoichiometry, the calculation gives 204.8 meV/atom. The calculation puts the density of states at the Fermi level at 2.7 states/eV/f.u.



[9]
## RePtBr2 (PBE)

Data for a relaxed structure of RePtBr2.

a = 4.908 Å, b = 4.908 Å, c = 3.045 Å
α = 90.00°, β = 90.00°, γ = 101.78°
Fractional positions:
1 Pt 0.500 0.000 0.500
2 Br 0.500 0.500 0.000
3 Br 0.000 0.000 0.000
4 Re 0.000 0.500 0.500

Results
The calculated density comes out at 12.513 g cm⁻³. Its space group is No. 65. The calculation puts the uncorrected energy at -4.047 eV/atom. As for the crystal system: orthorhombic. The total magnetization is 0.000 μB/atom. Its formation energy without anion corrections is 1.41 eV/atom. For the energy above the lowest structure with this stoichiometry, the calculation gives 1101.4 meV/atom. The calculation puts the density of states at the Fermi level at 5.4 states/eV/f.u.



[10]
## RePtBr2 (PBE)

Data for a relaxed structure of RePtBr2.

a = 4.642 Å, b = 4.642 Å, c = 4.642 Å
α = 60.00°, β = 60.00°, γ = 60.00°
Fractional positions:
1 Br 0.750 0.750 0.750
2 Br 0.250 0.250 0.250
3 Pt 0.500 0.500 0.500
4 Re 0.000 0.000 0.000

Results
The calculated density comes out at 12.705 g cm⁻³. Its space group is No. 225. The calculation puts the uncorrected energy at -4.107 eV/atom. As for the crystal system: cubic. The total magnetization is 0.000 μB/atom. Its formation energy without anion corrections is 1.35 eV/atom. For the energy above the lowest structure with this stoichiometry, the calculation gives 1041.8 meV/atom. The calculation puts the density of states at the Fermi level at 4.8 states/eV/f.u.



[11]
## RePtBr2 (PBE)

Data for a relaxed structure of RePtBr2.

a = 4.513 Å, b = 3.004 Å, c = 5.438 Å
α = 95.01°, β = 90.00°, γ = 90.00°
Fractional positions:
1 Br 0.000 0.558 0.505
2 Br 0.000 0.942 0.995
3 Re 0.500 0.750 0.750
4 Pt 0.500 0.250 0.250

Results
The calculated density comes out at 12.232 g cm⁻³. Its space group is No. 10. The calculation puts the uncorrected energy at -4.419 eV/atom. As for the crystal system: monoclinic. The total magnetization is 0.000 μB/atom. Its formation energy without anion corrections is 1.04 eV/atom. For the energy above the lowest structure with this stoichiometry, the calculation gives 729.5 meV/atom. The calculation puts the density of states at the Fermi level at 3.2 states/eV/f.u.



[12]
## RePtBr2 (PBE)

Data for a relaxed structure of RePtBr2.

a = 3.859 Å, b = 3.859 Å, c = 8.565 Å
α = 75.41°, β = 75.41°, γ = 54.59°
Fractional positions:
1 Br 0.744 0.744 0.669
2 Br 0.918 0.918 0.082
3 Pt 0.544 0.544 0.452
4 Re 0.294 0.294 0.297

Results
The calculated density comes out at 9.011 g cm⁻³. Its space group is No. 8. The calculation puts the uncorrected energy at -5.117 eV/atom. As for the crystal system: monoclinic. The total magnetization is 0.183 μB/atom. Its formation energy without anion corrections is 0.34 eV/atom. For the energy above the lowest structure with this stoichiometry, the calculation gives 31.6 meV/atom. The calculation puts the density of states at the Fermi level at 3.4 states/eV/f.u.



[13]
## RePtBr2 (PBE)

Data for a relaxed structure of RePtBr2.

a = 3.131 Å, b = 3.131 Å, c = 9.364 Å
α = 90.00°, β = 90.00°, γ = 123.54°
Fractional positions:
1 Br 0.000 0.000 0.974
2 Br 0.000 0.000 0.526
3 Pt 0.500 0.500 0.250
4 Re 0.500 0.500 0.750

Results
The calculated density comes out at 11.742 g cm⁻³. Its space group is No. 65. The calculation puts the uncorrected energy at -4.479 eV/atom. As for the crystal system: orthorhombic. The total magnetization is 0.077 μB/atom. Its formation energy without anion corrections is 0.98 eV/atom. For the energy above the lowest structure with this stoichiometry, the calculation gives 670.1 meV/atom. The calculation puts the density of states at the Fermi level at 5.0 states/eV/f.u.



[14]
## RePtBr (PBE)

Data for a relaxed structure of RePtBr.

a = 4.338 Å, b = 4.338 Å, c = 4.338 Å
α = 60.00°, β = 60.00°, γ = 60.00°
Fractional positions:
1 Re 0.750 0.750 0.750
2 Pt 0.500 0.500 0.500
3 Br 0.000 0.000 0.000

Results
The calculated density comes out at 13.263 g cm⁻³. Its space group is No. 216. The calculation puts the uncorrected energy at -5.844 eV/atom. As for the crystal system: cubic. The total magnetization is 0.000 μB/atom. Its formation energy without anion corrections is 0.88 eV/atom. For the energy above the lowest structure with this stoichiometry, the calculation gives 272.6 meV/atom. The calculation puts the density of states at the Fermi level at 1.2 states/eV/f.u.



[15]
## ReSbPtBr2 (PBE)

Data for a relaxed structure of ReSbPtBr2.

a = 5.046 Å, b = 5.455 Å, c = 5.046 Å
α = 90.00°, β = 90.00°, γ = 90.00°
Fractional positions:
1 Br 0.000 0.000 0.500
2 Br 0.500 0.000 0.000
3 Sb 0.000 0.500 0.000
4 Pt 0.000 0.000 0.000
5 Re 0.500 0.500 0.500

Results
The calculated density comes out at 7.925 g cm⁻³. Its space group is No. 123. The calculation puts the uncorrected energy at -3.990 eV/atom. As for the crystal system: tetragonal. The total magnetization is 0.855 μB/atom. Its formation energy without anion corrections is 1.20 eV/atom. The calculation puts the density of states at the Fermi level at 2.0 states/eV/f.u.